1.
First-principles (PBE) data for an optimized crystal structure of CoCuHN2, as listed in the Alexandria database.

Values from the calculation:
- ρ (g/cm3) = 5.88
- energy (eV per atom) = -4.872
- V (Å³ per cell) = 42.8
- total magnetization (μB per cell) = 2.0

Cell lengths 3.8012, 3.8012, 2.9623 Å; angles 90.00, 90.00, 90.00 degrees
Last column: nearest neighbours and their distance in Å.
Fractional coordinates of all 5 atoms:
Co 0.0000 0.0000 0.0000  8 N 2.41, 4 H 2.69
Cu 0.5000 0.5000 0.5000  2 H 1.48
H 0.5000 0.5000 0.0000  2 Cu 1.48
N 0.0000 0.5000 0.5000  2 Cu 1.90
N 0.5000 0.0000 0.5000  2 Cu 1.90

2.
First-principles (PBE) data for an optimized crystal structure of NbCo2CuH, as listed in the Alexandria database.

Values from the calculation:
- relative energy among the computed polymorphs (meV/atom) = 17.9
- ρ (g/cm3) = 8.73
- V (Å³ per cell) = 52.4
- total magnetization (μB per cell) = 0.0

Cell lengths 3.8288, 3.8288, 3.5724 Å; angles 90.00, 90.00, 90.00 degrees
Last column: nearest neighbours and their distance in Å.
Fractional coordinates of all 5 atoms:
Nb 0.0000 0.0000 0.0000  8 Co 2.62, 4 Cu 2.71
Co 0.0000 0.5000 0.5000  2 H 1.91
Co 0.5000 0.0000 0.5000  2 H 1.91
Cu 0.5000 0.5000 0.0000  2 H 1.79
H 0.5000 0.5000 0.5000  2 Cu 1.79, 4 Co 1.91

3.
First-principles (PBE) data for an optimized crystal structure of NbCo2CuH, as listed in the Alexandria database.

Values from the calculation:
- relative energy among the computed polymorphs (meV/atom) = 0.0
- ρ (g/cm3) = 8.59
- V (Å³ per cell) = 53.2
- total magnetization (μB per cell) = 0.0

Cell lengths 3.7415, 3.7415, 3.8014 Å; angles 90.00, 90.00, 90.00 degrees
Last column: nearest neighbours and their distance in Å.
Fractional coordinates of all 5 atoms:
Nb 0.0000 0.0000 0.0000  2 H 1.90
Co 0.0000 0.5000 0.5000  2 H 1.87
Co 0.5000 0.0000 0.5000  2 H 1.87
Cu 0.5000 0.5000 0.0000  4 Nb 2.65, 8 Co 2.67
H 0.0000 0.0000 0.5000  4 Co 1.87, 2 Nb 1.90

4.
First-principles (PBE) data for an optimized crystal structure of NdCo2CuH8, as listed in the Alexandria database.

Values from the calculation:
- ρ (g/cm3) = 5.94
- energy (eV per atom) = -4.333
- V (Å³ per cell) = 93.3
- total magnetization (μB per cell) = 0.0

Cell lengths 5.9341, 5.9341, 5.9341 Å; angles 44.50, 44.50, 44.50 degrees
Last column: nearest neighbours and their distance in Å.
Fractional coordinates of all 12 atoms:
Nd 0.0000 0.0000 0.0000  6 H 2.35
Co 0.1988 0.1988 0.1988  7 H 1.61-1.75
Co 0.8012 0.8012 0.8012  7 H 1.61-1.75
Cu 0.5000 0.5000 0.5000  6 H 1.78
H 0.1185 0.8438 0.4084  2 Co 1.62-1.75, 1 Cu 1.78
H 0.1562 0.5916 0.8815  2 Co 1.62-1.75, 1 Cu 1.78
H 0.2992 0.2992 0.2992  1 Co 1.61
H 0.4084 0.1185 0.8438  2 Co 1.62-1.75, 1 Cu 1.78
H 0.5916 0.8815 0.1562  2 Co 1.62-1.75, 1 Cu 1.78
H 0.7008 0.7008 0.7008  1 Co 1.61
H 0.8438 0.4084 0.1185  2 Co 1.62-1.75, 1 Cu 1.78
H 0.8815 0.1562 0.5916  2 Co 1.62-1.75, 1 Cu 1.78

5.
First-principles (PBE) data for an optimized crystal structure of NdCoCuH6, as listed in the Alexandria database.

Values from the calculation:
- ρ (g/cm3) = 6.14
- energy (eV per atom) = -4.326
- V (Å³ per cell) = 73.8
- total magnetization (μB per cell) = 0.0

Cell lengths 4.4638, 4.4638, 4.2760 Å; angles 90.00, 90.00, 120.00 degrees
Last column: nearest neighbours and their distance in Å.
Fractional coordinates of all 9 atoms:
Nd 0.0000 0.0000 0.0000  12 H 2.48
Co 0.6667 0.3333 0.5000  6 H 1.60
Cu 0.3333 0.6667 0.5000  6 H 1.74
H 0.5119 0.0237 0.2527  1 Co 1.60, 1 Cu 1.74
H 0.5119 0.0237 0.7473  1 Co 1.60, 1 Cu 1.74
H 0.5119 0.4881 0.2527  1 Co 1.60, 1 Cu 1.74
H 0.5119 0.4881 0.7473  1 Co 1.60, 1 Cu 1.74
H 0.9763 0.4881 0.2527  1 Co 1.60, 1 Cu 1.74
H 0.9763 0.4881 0.7473  1 Co 1.60, 1 Cu 1.74

6.
First-principles (PBE) data for an optimized crystal structure of Nd2CoCuH6, as listed in the Alexandria database.

Values from the calculation:
- ρ (g/cm3) = 7.08
- energy (eV per atom) = -4.454
- V (Å³ per cell) = 97.8
- total magnetization (μB per cell) = 0.0

Cell lengths 5.1733, 5.1733, 5.1533 Å; angles 119.79, 119.79, 90.41 degrees
Last column: nearest neighbours and their distance in Å.
Fractional coordinates of all 10 atoms:
Nd 0.2499 0.7501 0.0000  12 H 2.58-2.59
Nd 0.7501 0.2499 0.0000  12 H 2.58-2.59
Co 0.0000 0.0000 0.5000  6 H 1.68
Cu 0.5000 0.5000 0.5000  6 H 1.96-1.99
H 0.2293 0.7707 0.5000  1 Co 1.68
H 0.2301 0.2301 0.9600  1 Co 1.68
H 0.2306 0.2306 0.5003  1 Co 1.68
H 0.7694 0.7694 0.4997  1 Co 1.68
H 0.7699 0.7699 0.0400  1 Co 1.68
H 0.7707 0.2293 0.5000  1 Co 1.68

7.
First-principles (PBE) data for an optimized crystal structure of CoCuNi2H4, as listed in the Alexandria database.

Values from the calculation:
- ρ (g/cm3) = 7.71
- energy (eV per atom) = -4.504
- V (Å³ per cell) = 52.5
- total magnetization (μB per cell) = 0.0

Cell lengths 4.5479, 2.6657, 4.5654 Å; angles 90.00, 108.42, 90.00 degrees
Last column: nearest neighbours and their distance in Å.
Fractional coordinates of all 8 atoms:
Co 0.0000 0.0000 0.0000  6 H 1.77-1.81
Cu 0.0000 0.5000 0.5000  6 H 1.92-2.02
Ni 0.5000 0.0000 0.5000  6 H 1.94-1.97
Ni 0.5000 0.5000 0.0000  6 H 1.77-1.78
H 0.2387 0.5000 0.2195  3 Ni 1.78-1.97, 2 Co 1.81, 1 Cu 1.92
H 0.2721 0.0000 0.7946  3 Ni 1.77-1.94, 1 Co 1.77
H 0.7279 0.0000 0.2054  3 Ni 1.77-1.94, 1 Co 1.77
H 0.7613 0.5000 0.7805  3 Ni 1.78-1.97, 2 Co 1.81, 1 Cu 1.92

8.
First-principles (PBE) data for an optimized crystal structure of CoCu2NiH, as listed in the Alexandria database.

Values from the calculation:
- ρ (g/cm3) = 8.51
- energy (eV per atom) = -4.709
- V (Å³ per cell) = 48.0
- total magnetization (μB per cell) = 1.5

Cell lengths 3.7174, 3.7174, 3.4709 Å; angles 90.00, 90.00, 90.00 degrees
Last column: nearest neighbours and their distance in Å.
Fractional coordinates of all 5 atoms:
Co 0.0000 0.0000 0.0000  2 H 1.74
Cu 0.0000 0.5000 0.5000  2 H 1.86
Cu 0.5000 0.0000 0.5000  2 H 1.86
Ni 0.5000 0.5000 0.0000  8 Cu 2.54, 4 Co 2.63
H 0.0000 0.0000 0.5000  2 Co 1.74, 4 Cu 1.86

9.
First-principles (PBE) data for an optimized crystal structure of Co2CuNiH, as listed in the Alexandria database.

Values from the calculation:
- relative energy among the computed polymorphs (meV/atom) = 0.0
- ρ (g/cm3) = 8.57
- V (Å³ per cell) = 46.7
- total magnetization (μB per cell) = 3.3

Cell lengths 3.5788, 3.5788, 3.6485 Å; angles 90.00, 90.00, 90.00 degrees
Last column: nearest neighbours and their distance in Å.
Fractional coordinates of all 5 atoms:
Co 0.0000 0.5000 0.0000  2 H 1.79
Co 0.5000 0.0000 0.0000  2 H 1.79
Cu 0.0000 0.0000 0.5000  4 Ni 2.53, 8 Co 2.56
Ni 0.5000 0.5000 0.5000  2 H 1.82
H 0.5000 0.5000 0.0000  4 Co 1.79, 2 Ni 1.82

10.
First-principles (PBE) data for an optimized crystal structure of CoCuNi2H, as listed in the Alexandria database.

Values from the calculation:
- relative energy among the computed polymorphs (meV/atom) = 72.4
- ρ (g/cm3) = 8.48
- V (Å³ per cell) = 47.2
- total magnetization (μB per cell) = 2.5

Cell lengths 3.5857, 3.5857, 3.6678 Å; angles 90.00, 90.00, 90.00 degrees
Last column: nearest neighbours and their distance in Å.
Fractional coordinates of all 5 atoms:
Co 0.0000 0.0000 0.0000  4 Cu 2.54, 8 Ni 2.56
Cu 0.5000 0.5000 0.0000  2 H 1.83
Ni 0.0000 0.5000 0.5000  2 H 1.79
Ni 0.5000 0.0000 0.5000  2 H 1.79
H 0.5000 0.5000 0.5000  4 Ni 1.79, 2 Cu 1.83

11.
First-principles (PBE) data for an optimized crystal structure of Co2CuNiH, as listed in the Alexandria database.

Values from the calculation:
- relative energy among the computed polymorphs (meV/atom) = 56.7
- ρ (g/cm3) = 8.54
- V (Å³ per cell) = 46.9
- total magnetization (μB per cell) = 3.4

Cell lengths 3.5559, 3.5559, 3.7084 Å; angles 90.00, 90.00, 90.00 degrees
Last column: nearest neighbours and their distance in Å.
Fractional coordinates of all 5 atoms:
Co 0.0000 0.5000 0.0000  2 H 1.78
Co 0.5000 0.0000 0.0000  2 H 1.78
Cu 0.0000 0.0000 0.5000  2 H 1.85
Ni 0.5000 0.5000 0.5000  4 Cu 2.51, 8 Co 2.57
H 0.0000 0.0000 0.0000  4 Co 1.78, 2 Cu 1.85

12.
First-principles (PBE) data for an optimized crystal structure of CoCuNiH3, as listed in the Alexandria database.

Values from the calculation:
- ρ (g/cm3) = 6.37
- energy (eV per atom) = -4.401
- V (Å³ per cell) = 96.0
- total magnetization (μB per cell) = 0.9

Cell lengths 6.0901, 2.5474, 6.1897 Å; angles 90.00, 91.70, 90.00 degrees
Last column: nearest neighbours and their distance in Å.
Fractional coordinates of all 12 atoms:
Co 0.1512 0.2500 0.0954  5 H 1.70-1.76
Co 0.8488 0.7500 0.9046  5 H 1.70-1.76
Cu 0.2655 0.7500 0.7590  5 H 1.95-2.07
Cu 0.7345 0.2500 0.2410  5 H 1.95-2.07
Ni 0.3902 0.7500 0.3585  4 H 1.70-1.82
Ni 0.6098 0.2500 0.6415  4 H 1.70-1.82
H 0.0265 0.2500 0.8360  3 Co 1.73-1.76
H 0.3301 0.2500 0.5298  3 Ni 1.70-1.82
H 0.3348 0.7500 0.0881  2 Co 1.70, 1 Ni 1.70
H 0.6652 0.2500 0.9119  2 Co 1.70, 1 Ni 1.70
H 0.6699 0.7500 0.4702  3 Ni 1.70-1.82
H 0.9735 0.7500 0.1640  3 Co 1.73-1.76